1.
Crystalline Hg5NCl11 at its relaxed geometry, computed with PBE.

- crystal system = monoclinic
- formation energy (no corrections) (eV/atom) = -0.165

abc: 9.8931 9.8931 6.1715
angles: 104.23 104.23 105.55
Last column: nearest neighbours and their distance in Å.
Fractional positions:
Hg1 0.0000 0.0000 0.0000  2 Cl 2.34
Hg2 0.1418 0.4685 0.3093  2 Cl 2.32-2.33
Hg3 0.4685 0.1418 0.3093  2 Cl 2.32-2.33
Hg4 0.5315 0.8582 0.6907  2 Cl 2.32-2.33
Hg5 0.8582 0.5315 0.6907  2 Cl 2.32-2.33
N1 0.5000 0.5000 0.0000  2 Cl 3.09
Cl1 0.0629 0.3173 0.9158  1 Hg 2.32
Cl2 0.1440 0.1440 0.3934  1 Hg 2.34
Cl3 0.2066 0.6240 0.6973  1 Hg 2.33
Cl4 0.3173 0.0629 0.9158  1 Hg 2.32
Cl5 0.3760 0.7934 0.3027  1 Hg 2.33
Cl6 0.5000 0.5000 0.5000  2 N 3.09, 4 Hg 3.35
Cl7 0.6240 0.2066 0.6973  1 Hg 2.33
Cl8 0.6827 0.9371 0.0842  1 Hg 2.32
Cl9 0.7934 0.3760 0.3027  1 Hg 2.33
Cl10 0.8560 0.8560 0.6066  1 Hg 2.34
Cl11 0.9371 0.6827 0.0842  1 Hg 2.32

2.
Crystalline HgNCl at its relaxed geometry, computed with PBE.

- crystal system = monoclinic
- energy above the lowest structure with this stoichiometry (eV per formula unit) = 0.00
- formation energy (no corrections) (eV/atom) = -0.134

abc: 11.3434 4.0837 8.1045
angles: 90.00 95.34 90.00
Last column: nearest neighbours and their distance in Å.
Fractional positions:
Hg1 0.1506 0.2487 0.3911  4 Cl 2.87-2.88
Hg2 0.1506 0.2513 0.8911  4 Cl 2.87-2.88
Hg3 0.8494 0.7487 0.1089  4 Cl 2.87-2.88
Hg4 0.8494 0.7513 0.6089  4 Cl 2.87-2.88
N1 0.4717 0.0923 0.0281  1 N 1.11
N2 0.4717 0.4077 0.5281  1 N 1.11
N3 0.5283 0.5923 0.4719  1 N 1.11
N4 0.5283 0.9077 0.9719  1 N 1.11
Cl1 0.1545 0.7497 0.1415  4 Hg 2.87-2.88
Cl2 0.1545 0.7503 0.6415  4 Hg 2.87-2.88
Cl3 0.8455 0.2497 0.3585  4 Hg 2.87-2.88
Cl4 0.8455 0.2503 0.8585  4 Hg 2.87-2.88

- formation energy (no corrections) of number 2 (HgNCl)?
  -0.134 eV/atom